Compound: Ce2SiRh6
Source: the Alexandria database
Functional: PBE
Structure: optimized geometry

a b c (Å): 3.7303 6.9795 7.4347
angles (deg): 117.99 104.51 90.00
With the nearest neighbours (Å) after each atom.
Positions (direct):
1 Ce 0.6511 0.6505 0.3009  8 Rh 2.74-2.77
2 Ce 0.3489 0.3495 0.6991  8 Rh 2.74-2.77
3 Si 0.0000 0.0000 0.0000  8 Rh 2.37-2.55
4 Rh 0.1658 0.3746 0.3314  1 Si 2.55, 3 Ce 2.74-2.77, 2 Rh 2.80
5 Rh 0.8342 0.0432 0.6686  1 Si 2.55, 3 Ce 2.74-2.77, 2 Rh 2.80
6 Rh 0.8342 0.6254 0.6686  1 Si 2.55, 3 Ce 2.74-2.77, 2 Rh 2.80
7 Rh 0.5000 0.2100 0.0000  2 Si 2.37
8 Rh 0.1658 0.9568 0.3314  1 Si 2.55, 3 Ce 2.74-2.77, 2 Rh 2.80
9 Rh 0.5000 0.7900 0.0000  2 Si 2.37

The total magnetic moment is 0.000 μB per cell. As for the symmetry: Immm, No. 71. As for the theoretical density: 9.4 g/cm3. Its uncorrected formation energy is -0.514 eV per atom.



Compound: MnICl3
Source: the Alexandria database
Functional: PBE
Structure: optimized geometry

a b c (Å): 7.7793 7.0015 10.1006
angles (deg): 92.01 54.43 65.05
With the nearest neighbours (Å) after each atom.
Positions (direct):
1 Mn 0.0595 0.0159 0.6644  4 Cl 2.17-2.37
2 Mn 0.2307 0.3544 0.6943  4 Cl 2.16-2.37
3 I 0.7454 0.5517 0.7729  1 I 2.77, 1 Mn 2.97
4 I 0.3674 0.7573 0.1356  1 I 2.77, 1 Cl 2.80
5 Cl 0.3704 0.0822 0.4526  2 Mn 2.37
6 Cl 0.1333 0.5501 0.9234  1 Mn 2.16
7 Cl 0.7215 0.0587 0.9009  1 Mn 2.17
8 Cl 0.1709 0.0913 0.8211  2 Mn 2.33-2.34
9 Cl 0.3733 0.5472 0.5313  1 Mn 2.25
10 Cl 0.9597 0.9735 0.4989  1 Mn 2.27

The total magnetic moment is 7.991 μB per cell. As for the symmetry: P1, No. 1. As for the theoretical density: 2.6 g/cm3. Its uncorrected formation energy is -0.704 eV per atom.



Compound: RePBr2
Source: the Alexandria database
Functional: PBE
Structure: optimized geometry

a b c (Å): 9.5696 9.5696 9.5696
angles (deg): 18.92 18.92 18.92
With the nearest neighbours (Å) after each atom.
Positions (direct):
1 Br 0.0162 0.0162 0.0162  3 Re 2.62
2 Br 0.4838 0.4838 0.4838  3 Re 2.62
3 P 0.2500 0.2500 0.2500  6 P 3.15, 6 Br 3.34
4 Re 0.7500 0.7500 0.7500  6 Br 2.62

The total magnetic moment is 0.013 μB per cell. As for the symmetry: R-3m, No. 166. As for the theoretical density: 7.8 g/cm3. Its uncorrected formation energy is 0.985 eV per atom.



Compound: Ti5In2
Source: the Alexandria database
Functional: PBE
Structure: optimized geometry

a b c (Å): 3.9317 5.2823 6.6861
angles (deg): 95.93 90.00 111.85
With the nearest neighbours (Å) after each atom.
Positions (direct):
1 Ti 0.3499 0.6999 0.0770  6 Ti 2.85-3.06, 5 In 2.94-3.00
2 Ti 0.6501 0.3001 0.9230  6 Ti 2.85-3.06, 5 In 2.94-3.00
3 Ti 0.2169 0.4337 0.6403  8 Ti 2.84-3.06, 4 In 2.94-3.08
4 Ti 0.5000 0.0000 0.5000  4 In 2.87, 8 Ti 2.97-3.04
5 Ti 0.7831 0.5663 0.3597  8 Ti 2.84-3.06, 4 In 2.94-3.08
6 In 0.0715 0.1429 0.2171  11 Ti 2.87-3.08, 1 In 3.08
7 In 0.9285 0.8571 0.7829  11 Ti 2.87-3.08, 1 In 3.08

The energy of formation comes out at -115 meV per atom. The total magnetic moment is 0.000 μB per cell. As for the symmetry: C2/m, No. 12. As for the theoretical density: 6.1 g/cm3.



Compound: Na3BRu
Source: the Alexandria database
Functional: PBE
Structure: optimized geometry

a b c (Å): 4.9399 4.9399 4.9399
angles (deg): 90.00 90.00 90.00
With the nearest neighbours (Å) after each atom.
Positions (direct):
1 Ru 0.5000 0.5000 0.5000  12 Na 3.49
2 B 0.0000 0.0000 0.0000  6 Na 2.47
3 Na 0.0000 0.5000 0.0000  2 B 2.47
4 Na 0.0000 0.0000 0.5000  2 B 2.47
5 Na 0.5000 0.0000 0.0000  2 B 2.47

The energy of formation comes out at 1560 meV per atom. The total magnetic moment is 1.642 μB per cell. As for the symmetry: Pm-3m, No. 221. As for the theoretical density: 2.5 g/cm3.



Compound: BaCu3Si
Source: the Alexandria database
Functional: PBE
Structure: optimized geometry

a b c (Å): 6.7901 7.6037 8.2596
angles (deg): 106.21 90.00 90.00
With the nearest neighbours (Å) after each atom.
Positions (direct):
1 Ba 0.3947 0.3510 0.2923  8 Cu 3.24-3.62, 2 Si 3.37-3.41
2 Ba 0.6053 0.6490 0.7077  8 Cu 3.24-3.62, 2 Si 3.37-3.41
3 Ba 0.8947 0.6490 0.2077  8 Cu 3.24-3.62, 2 Si 3.37-3.41
4 Ba 0.1053 0.3510 0.7923  8 Cu 3.24-3.62, 2 Si 3.37-3.41
5 Cu 0.1041 0.0363 0.3889  3 Si 2.42-2.47, 4 Cu 2.49-2.65
6 Cu 0.8959 0.9637 0.6111  3 Si 2.42-2.47, 4 Cu 2.49-2.65
7 Cu 0.6041 0.9637 0.1111  3 Si 2.42-2.47, 4 Cu 2.49-2.65
8 Cu 0.3959 0.0363 0.8889  3 Si 2.42-2.47, 4 Cu 2.49-2.65
9 Cu 0.9420 0.1068 0.1437  3 Si 2.36-2.54, 4 Cu 2.49-2.60
10 Cu 0.0580 0.8932 0.8563  3 Si 2.36-2.54, 4 Cu 2.49-2.60
11 Cu 0.4420 0.8932 0.3563  3 Si 2.36-2.54, 4 Cu 2.49-2.60
12 Cu 0.5580 0.1068 0.6437  3 Si 2.36-2.54, 4 Cu 2.49-2.60
13 Cu 0.4219 0.6462 0.0702  1 Si 2.35, 2 Cu 2.44-2.58
14 Cu 0.5781 0.3538 0.9298  1 Si 2.35, 2 Cu 2.44-2.58
15 Cu 0.9219 0.3538 0.4298  1 Si 2.35, 2 Cu 2.44-2.58
16 Cu 0.0781 0.6462 0.5702  1 Si 2.35, 2 Cu 2.44-2.58
17 Si 0.7557 0.0803 0.8965  7 Cu 2.35-2.54
18 Si 0.2443 0.9197 0.1035  7 Cu 2.35-2.54
19 Si 0.2557 0.9197 0.6035  7 Cu 2.35-2.54
20 Si 0.7443 0.0803 0.3965  7 Cu 2.35-2.54

The total magnetic moment is 0.000 μB per cell. As for the symmetry: P2_1/c, No. 14. As for the theoretical density: 5.8 g/cm3. Its uncorrected formation energy is -0.124 eV per atom.



Compound: Li2CaZn
Source: the Alexandria database
Functional: PBE
Structure: optimized geometry

a b c (Å): 4.6723 4.6723 5.6150
angles (deg): 65.43 65.43 59.75
With the nearest neighbours (Å) after each atom.
Positions (direct):
1 Zn 0.4564 0.4564 0.6305  6 Li 2.72-2.99
2 Ca 0.2452 0.2452 0.2633  4 Li 3.08-3.26, 4 Zn 3.12-3.25
3 Li 0.0372 0.0372 0.8893  3 Li 2.82-2.83, 3 Zn 2.98-2.99, 1 Ca 3.08
4 Li 0.7613 0.7613 0.7169  3 Zn 2.72-2.74, 3 Li 2.82-2.83

The energy of formation comes out at -71 meV per atom. The total magnetic moment is 0.000 μB per cell. As for the symmetry: Cm, No. 8. As for the theoretical density: 2.1 g/cm3.



Compound: Cs2Tb2TiSe6
Source: the Alexandria database
Functional: PBE
Structure: optimized geometry

a b c (Å): 7.0099 7.0099 8.9023
angles (deg): 98.10 98.10 119.56
With the nearest neighbours (Å) after each atom.
Positions (direct):
1 Cs 0.8279 0.1721 0.0000  6 Se 3.58-3.67, 2 Cs 4.00
2 Cs 0.1721 0.8279 0.0000  6 Se 3.58-3.67, 2 Cs 4.00
3 Tb 0.3326 0.6674 0.5000  6 Se 2.88-2.89
4 Tb 0.6674 0.3326 0.5000  6 Se 2.88-2.89
5 Ti 0.0000 0.0000 0.5000  6 Se 2.63
6 Se 0.7574 0.7574 0.6772  1 Ti 2.63, 2 Tb 2.88
7 Se 0.0654 0.3700 0.6794  1 Ti 2.63, 2 Tb 2.88-2.89
8 Se 0.2426 0.2426 0.3228  1 Ti 2.63, 2 Tb 2.88
9 Se 0.3700 0.0654 0.6794  1 Ti 2.63, 2 Tb 2.88-2.89
10 Se 0.9346 0.6300 0.3206  1 Ti 2.63, 2 Tb 2.88-2.89
11 Se 0.6300 0.9346 0.3206  1 Ti 2.63, 2 Tb 2.88-2.89

The total magnetic moment is 0.000 μB per cell. As for the symmetry: C2/m, No. 12. As for the theoretical density: 5.0 g/cm3. Its uncorrected formation energy is -1.541 eV per atom.



Compound: LaZr2Zn
Source: the Alexandria database
Functional: PBE
Structure: optimized geometry

a b c (Å): 3.3338 3.3338 8.4109
angles (deg): 90.00 90.00 90.01
With the nearest neighbours (Å) after each atom.
Positions (direct):
1 La 0.5000 0.5000 0.2500  4 La 3.33, 8 Zr 3.44
2 Zn 0.5000 0.5000 0.7500  8 Zr 2.90
3 Zr 0.0000 0.0000 0.9518  4 Zn 2.90
4 Zr 0.0000 0.0000 0.5482  4 Zn 2.90

The energy of formation comes out at -26 meV per atom. The total magnetic moment is 0.000 μB per cell. As for the symmetry: P4/mmm, No. 123. As for the theoretical density: 6.9 g/cm3.



Compound: Zn3Os
Source: the Alexandria database
Functional: PBE
Structure: optimized geometry

a b c (Å): 4.8829 4.8829 4.8829
angles (deg): 90.00 90.00 90.00
With the nearest neighbours (Å) after each atom.
Positions (direct):
1 Zn 0.0000 0.2500 0.5000  2 Zn 2.44, 4 Os 2.73
2 Zn 0.0000 0.7500 0.5000  2 Zn 2.44, 4 Os 2.73
3 Zn 0.2500 0.5000 0.0000  2 Zn 2.44, 4 Os 2.73
4 Zn 0.5000 0.0000 0.2500  2 Zn 2.44, 4 Os 2.73
5 Zn 0.5000 0.0000 0.7500  2 Zn 2.44, 4 Os 2.73
6 Zn 0.7500 0.5000 0.0000  2 Zn 2.44, 4 Os 2.73
7 Os 0.0000 0.0000 0.0000  12 Zn 2.73
8 Os 0.5000 0.5000 0.5000  12 Zn 2.73

The energy of formation comes out at 296 meV per atom. The total magnetic moment is 0.000 μB per cell. As for the symmetry: Pm-3n, No. 223. As for the theoretical density: 11.0 g/cm3.



Compound: SrY3Ru
Source: the Alexandria database
Functional: PBE
Structure: optimized geometry

a b c (Å): 6.1086 6.1086 10.4405
angles (deg): 72.99 72.99 90.00
With the nearest neighbours (Å) after each atom.
Positions (direct):
1 Y 0.1257 0.8748 0.2505  2 Ru 2.82-2.83, 2 Y 3.04-3.07
2 Y 0.1252 0.8743 0.7495  2 Ru 2.82-2.83, 2 Y 3.04-3.07
3 Y 0.1252 0.3761 0.7495  2 Ru 2.82-2.83, 2 Y 3.04-3.07
4 Y 0.6239 0.8748 0.2505  2 Ru 2.82-2.83, 2 Y 3.04-3.07
5 Y 0.2841 0.2841 0.4317  2 Ru 3.12, 2 Y 3.39
6 Y 0.7159 0.7159 0.5683  2 Ru 3.12, 2 Y 3.39
7 Ru 0.0000 0.0000 0.0000  4 Y 2.83
8 Ru 0.2500 0.7500 0.5000  8 Y 2.82-3.12
9 Sr 0.5492 0.0492 0.9016  2 Ru 3.19
10 Sr 0.9508 0.4508 0.0984  2 Ru 3.19

The energy of formation comes out at 259 meV per atom. The total magnetic moment is 0.000 μB per cell. As for the symmetry: I-4m2, No. 119. As for the theoretical density: 4.3 g/cm3.



Compound: SrUInO6
Source: the Alexandria database
Functional: PBE
Structure: optimized geometry

a b c (Å): 5.2354 5.2354 10.4042
angles (deg): 90.00 90.00 90.00
With the nearest neighbours (Å) after each atom.
Positions (direct):
1 Sr 0.5000 0.5000 0.5030  6 O 2.42-2.56
2 Sr 0.0000 0.0000 0.0030  6 O 2.42-2.56
3 U 0.5000 0.5000 0.1654  6 O 2.07-2.12
4 U 0.0000 0.0000 0.6654  6 O 2.07-2.12
5 In 0.5000 0.5000 0.8337  6 O 2.20-2.23
6 In 0.0000 0.0000 0.3337  6 O 2.20-2.23
7 O 0.1730 0.8270 0.5082  1 U 2.08, 1 In 2.22
8 O 0.8270 0.1730 0.5082  1 U 2.08, 1 In 2.22
9 O 0.3270 0.3270 0.0082  1 U 2.08, 1 In 2.22
10 O 0.6730 0.6730 0.0082  1 U 2.08, 1 In 2.22
11 O 0.2148 0.7852 0.1873  1 U 2.12, 1 In 2.20
12 O 0.7852 0.2148 0.1873  1 U 2.12, 1 In 2.20
13 O 0.2852 0.2852 0.6873  1 U 2.12, 1 In 2.20
14 O 0.7148 0.7148 0.6873  1 U 2.12, 1 In 2.20
15 O 0.7983 0.2017 0.8034  1 U 2.07, 1 In 2.23
16 O 0.2017 0.7983 0.8034  1 U 2.07, 1 In 2.23
17 O 0.7017 0.7017 0.3034  1 U 2.07, 1 In 2.23
18 O 0.2983 0.2983 0.3034  1 U 2.07, 1 In 2.23

The total magnetic moment is 2.166 μB per cell. As for the symmetry: P4_2nm, No. 102. As for the theoretical density: 6.2 g/cm3. Its uncorrected formation energy is -2.361 eV per atom.